1.
This record from Alexandria describes a geometry-optimized ZrAg3Bi structure. The functional is PBE. Values from VASP.

The calculation puts the energy relative to the lowest polymorph listed for this composition at 0 meV per atom. The value obtained for the formation energy is 1.0080 eV/atom. For the spin magnetization, the calculation gives 1.99 Bohr magnetons per cell.

```
&SYSTEM
  ibrav = 0, nat = 5, ntyp = 3
/
ATOMIC_SPECIES
Zr 91.22 Zr.upf
Ag 107.87 Ag.upf
Bi 208.98 Bi.upf
ATOMIC_POSITIONS crystal
Zr 0.000 0.000 0.000
Ag 0.000 0.500 0.500
Ag 0.500 0.000 0.500
Ag 0.500 0.500 0.000
Bi 0.500 0.500 0.500
CELL_PARAMETERS angstrom
5.252 0.000 0.000
0.000 5.252 0.000
0.000 0.000 5.252
```

***

2.
This record from Alexandria describes a geometry-optimized Tl2Te2O7 structure. The functional is PBE. Values from VASP.

Its uncorrected formation energy is -0.761 eV/atom. For the spin magnetization, the calculation gives 0.00 Bohr magnetons per cell.

```
&SYSTEM
  ibrav = 0, nat = 11, ntyp = 3
/
ATOMIC_SPECIES
Tl 204.38 Tl.upf
Te 127.60 Te.upf
O 16.00 O.upf
ATOMIC_POSITIONS crystal
Tl 0.171 0.829 0.000
Tl 0.829 0.171 0.000
Te 0.297 0.297 0.600
Te 0.703 0.703 0.400
O 0.000 0.000 0.500
O 0.124 0.462 0.746
O 0.373 0.373 0.330
O 0.462 0.124 0.746
O 0.538 0.876 0.254
O 0.627 0.627 0.670
O 0.876 0.538 0.254
CELL_PARAMETERS angstrom
3.310 -4.647 0.000
3.310 4.647 0.000
-1.067 0.000 6.467
```

***

3.
This record from Alexandria describes a geometry-optimized RbHg3Cl7 structure. The functional is PBE. Values from VASP.

Its uncorrected formation energy is -0.847 eV/atom. For the spin magnetization, the calculation gives 0.00 Bohr magnetons per cell.

```
&SYSTEM
  ibrav = 0, nat = 11, ntyp = 3
/
ATOMIC_SPECIES
Rb 85.47 Rb.upf
Hg 200.59 Hg.upf
Cl 35.45 Cl.upf
ATOMIC_POSITIONS crystal
Rb 0.000 0.000 0.000
Hg 0.252 0.748 0.500
Hg 0.500 0.500 0.000
Hg 0.748 0.252 0.500
Cl 0.000 0.000 0.500
Cl 0.142 0.596 0.758
Cl 0.343 0.343 0.223
Cl 0.404 0.858 0.242
Cl 0.596 0.142 0.758
Cl 0.657 0.657 0.777
Cl 0.858 0.404 0.242
CELL_PARAMETERS angstrom
4.969 -5.602 0.000
4.969 5.602 0.000
-1.142 0.000 6.655
```

***

4.
This record from Alexandria describes a geometry-optimized Li2PuBr6 structure. The functional is PBE. Values from VASP.

Its uncorrected formation energy is -1.336 eV/atom. The calculation puts the energy relative to the lowest polymorph listed for this composition at 50 meV per atom. For the spin magnetization, the calculation gives 3.92 Bohr magnetons per cell.

```
&SYSTEM
  ibrav = 0, nat = 9, ntyp = 3
/
ATOMIC_SPECIES
Li 6.94 Li.upf
Pu 244.00 Pu.upf
Br 79.90 Br.upf
ATOMIC_POSITIONS crystal
Li 0.181 0.181 0.497
Li 0.819 0.819 0.503
Pu 0.000 0.000 0.000
Br 0.018 0.018 0.299
Br 0.294 0.294 0.360
Br 0.381 0.381 0.960
Br 0.619 0.619 0.040
Br 0.706 0.706 0.640
Br 0.982 0.982 0.701
CELL_PARAMETERS angstrom
8.164 -2.153 0.000
8.164 2.153 0.000
-2.900 0.000 8.788
```

***

5.
This record from Alexandria describes a geometry-optimized Sm2Ge4RhAu3 structure. The functional is PBE. Values from VASP.

The value obtained for the formation energy is -0.5714 eV/atom. For the spin magnetization, the calculation gives 0.00 Bohr magnetons per cell.

```
&SYSTEM
  ibrav = 0, nat = 10, ntyp = 4
/
ATOMIC_SPECIES
Sm 150.36 Sm.upf
Ge 72.64 Ge.upf
Rh 102.91 Rh.upf
Au 196.97 Au.upf
ATOMIC_POSITIONS crystal
Sm 0.000 0.500 0.233
Sm 0.500 0.000 0.767
Ge 0.000 0.000 0.500
Ge 0.000 0.500 0.872
Ge 0.500 0.000 0.128
Ge 0.500 0.500 0.500
Rh 0.500 0.500 0.000
Au 0.000 0.000 0.000
Au 0.000 0.500 0.644
Au 0.500 0.000 0.356
CELL_PARAMETERS angstrom
4.286 0.000 0.000
0.000 4.286 0.000
0.000 0.000 10.999
```

***

6.
This record from Alexandria describes a geometry-optimized La2AsP structure. The functional is PBE. Values from VASP.

The calculation puts the energy relative to the lowest polymorph listed for this composition at 284 meV per atom. The value obtained for the formation energy is -1.2890 eV/atom. For the spin magnetization, the calculation gives 0.00 Bohr magnetons per cell.

```
&SYSTEM
  ibrav = 0, nat = 4, ntyp = 3
/
ATOMIC_SPECIES
La 138.91 La.upf
As 74.92 As.upf
P 30.97 P.upf
ATOMIC_POSITIONS crystal
La 0.000 0.000 0.000
La 0.743 0.243 0.500
As 0.409 0.409 0.000
P 0.160 0.660 0.500
CELL_PARAMETERS angstrom
-1.964 1.987 7.331
1.964 -1.987 7.331
1.964 1.987 -7.331
```